Arrangement P

A geometry-optimized MgPSe structure. Source: Alexandria, functional PBE.

a = 3.6658 Å, b = 3.6658 Å, c = 5.1895 Å
α = 90.00°, β = 90.00°, γ = 120.00°
Space group P3m1 (No. 156)
One atom of each set of equivalent atoms:
Mg1 0.0000 0.0000 0.0000
P1 0.6667 0.3333 0.3262
Se1 0.3333 0.6667 0.6612

Computed properties:
The value obtained for the density of states at the Fermi level is 2.4 states/eV/cell. As for the crystal system: trigonal.

Arrangement Q

A geometry-optimized MgPSe structure. Source: Alexandria, functional PBE.

a = 4.000 Å, b = 4.225 Å, c = 15.321 Å
α = 90.00°, β = 90.00°, γ = 90.00°
Space group Fmm2 (No. 42)
One atom of each set of equivalent atoms:
Mg1 0.000 0.000 0.000
P1 0.000 0.000 0.621
Se1 0.000 0.000 0.369

Computed properties:
The value obtained for the density of states at the Fermi level is 4.9 states/eV/cell. As for the crystal system: orthorhombic.

Which structure is the least stable? The one labeled arrangement P.

Arrangement P

A geometry-optimized MgPSe structure. Source: Alexandria, functional PBE.

a = 6.337 Å, b = 6.337 Å, c = 6.337 Å
α = 90.00°, β = 90.00°, γ = 90.00°
Space group F-43m (No. 216)
One atom of each set of equivalent atoms:
Mg1 0.000 0.000 0.000
P1 0.250 0.250 0.250
Se1 0.250 0.250 0.750

Computed properties:
The value obtained for the density of states at the Fermi level is 7.6 states/eV/cell. As for the crystal system: cubic.

Arrangement Q

A geometry-optimized MgPSe structure. Source: Alexandria, functional PBE.

a = 6.390 Å, b = 6.390 Å, c = 6.390 Å
α = 90.00°, β = 90.00°, γ = 90.00°
Space group F-43m (No. 216)
One atom of each set of equivalent atoms:
Mg1 0.000 0.000 0.000
P1 0.250 0.250 0.750
Se1 0.000 0.000 0.500

Computed properties:
The value obtained for the density of states at the Fermi level is 9.6 states/eV/cell. As for the crystal system: cubic.

Which structure is the least stable? The one labeled arrangement Q.

Arrangement P

A geometry-optimized Mg3PSe structure. Source: Alexandria, functional PBE.

a = 4.885 Å, b = 4.885 Å, c = 4.885 Å
α = 90.00°, β = 90.00°, γ = 90.00°
Space group Pm-3m (No. 221)
One atom of each set of equivalent atoms:
Mg1 0.000 0.000 0.500
P1 0.000 0.000 0.000
Se1 0.500 0.500 0.500

Computed properties:
The value obtained for the density of states at the Fermi level is 3.0 states/eV/cell. As for the crystal system: cubic.

Arrangement Q

A geometry-optimized Mg3PSe structure. Source: Alexandria, functional PBE.

a = 4.968 Å, b = 4.968 Å, c = 4.968 Å
α = 90.00°, β = 90.00°, γ = 90.00°
Space group Pm-3m (No. 221)
One atom of each set of equivalent atoms:
Mg1 0.000 0.000 0.500
P1 0.500 0.500 0.500
Se1 0.000 0.000 0.000

Computed properties:
The value obtained for the density of states at the Fermi level is 3.4 states/eV/cell. As for the crystal system: cubic.

Which structure is the least stable? The one labeled arrangement Q.

Arrangement P

A geometry-optimized MgSiP2 structure. Source: Alexandria, functional PBE.

a = 3.476 Å, b = 3.869 Å, c = 4.808 Å
α = 90.00°, β = 90.00°, γ = 90.00°
Space group Pmmm (No. 47)
One atom of each set of equivalent atoms:
Mg1 0.000 0.000 0.000
Si1 0.000 0.500 0.500
P1 0.500 0.000 0.500
P2 0.500 0.500 0.000

Computed properties:
The value obtained for the density of states at the Fermi level is 1.7 states/eV/cell. As for the crystal system: orthorhombic.

Arrangement Q

A geometry-optimized MgSiP2 structure. Source: Alexandria, functional PBE.

a = 3.368 Å, b = 3.368 Å, c = 5.623 Å
α = 90.00°, β = 90.00°, γ = 90.00°
Space group P4/mmm (No. 123)
One atom of each set of equivalent atoms:
Mg1 0.000 0.000 0.000
Si1 0.000 0.000 0.500
P1 0.500 0.500 0.282

Computed properties:
The value obtained for the density of states at the Fermi level is 2.1 states/eV/cell. As for the crystal system: tetragonal.

Which structure is the least stable? The one labeled arrangement P.

Arrangement P

A geometry-optimized MgSiP2 structure. Source: Alexandria, functional PBE.

a = 9.788 Å, b = 3.730 Å, c = 4.028 Å
α = 90.00°, β = 99.78°, γ = 90.00°
Space group Cm (No. 8)
One atom of each set of equivalent atoms:
Mg1 0.000 0.000 0.000
Si1 0.249 0.000 0.764
P1 0.079 0.500 0.490
P2 0.302 0.500 0.436

Computed properties:
The value obtained for the density of states at the Fermi level is 0.8 states/eV/cell. As for the crystal system: monoclinic.

Arrangement Q

A geometry-optimized MgSiP2 structure. Source: Alexandria, functional PBE.

a = 3.393 Å, b = 3.393 Å, c = 6.393 Å
α = 90.00°, β = 90.00°, γ = 90.00°
Space group P4mm (No. 99)
One atom of each set of equivalent atoms:
Mg1 0.000 0.000 0.000
Si1 0.500 0.500 0.501
P1 0.000 0.000 0.597
P2 0.500 0.500 0.149

Computed properties:
The value obtained for the density of states at the Fermi level is 2.0 states/eV/cell. As for the crystal system: tetragonal.

Which structure is the least stable? The one labeled arrangement P.

Arrangement P

A geometry-optimized MgSiP2 structure. Source: Alexandria, functional PBE.

a = 5.470 Å, b = 7.130 Å, c = 3.653 Å
α = 90.00°, β = 110.57°, γ = 90.00°
Space group C2/m (No. 12)
One atom of each set of equivalent atoms:
Mg1 0.000 0.000 0.000
Si1 0.000 0.500 0.000
P1 0.250 0.250 0.500

Computed properties:
The value obtained for the density of states at the Fermi level is 2.8 states/eV/cell. As for the crystal system: monoclinic.

Arrangement Q

A geometry-optimized MgSiP2 structure. Source: Alexandria, functional PBE.

a = 3.608 Å, b = 3.608 Å, c = 10.085 Å
α = 90.00°, β = 90.00°, γ = 90.00°
Space group I-4m2 (No. 119)
One atom of each set of equivalent atoms:
Mg1 0.000 0.000 0.000
Si1 0.000 0.500 0.250
P1 0.000 0.000 0.500
P2 0.000 0.500 0.750

Computed properties:
The value obtained for the density of states at the Fermi level is 4.3 states/eV/cell. As for the crystal system: tetragonal.

Arrangement R

A geometry-optimized MgSiP2 structure. Source: Alexandria, functional PBE.

a = 3.3948 Å, b = 3.3948 Å, c = 20.4322 Å
α = 90.00°, β = 90.00°, γ = 120.00°
Space group R3m (No. 160, hexagonal axes)
One atom of each set of equivalent atoms:
Mg1 0.0000 0.0000 0.0000
Si1 0.0000 0.0000 0.7664
P1 0.0000 0.0000 0.2406
P2 0.0000 0.0000 0.5041

Computed properties:
The value obtained for the density of states at the Fermi level is 1.8 states/eV/cell. As for the crystal system: trigonal.

Which structure is the least stable? The one labeled arrangement Q.

Arrangement P

A geometry-optimized MgSiP2 structure. Source: Alexandria, functional PBE.

a = 2.770 Å, b = 3.427 Å, c = 6.878 Å
α = 90.00°, β = 90.00°, γ = 90.00°
Space group Pmmm (No. 47)
One atom of each set of equivalent atoms:
Mg1 0.000 0.000 0.000
Si1 0.500 0.000 0.500
P1 0.500 0.500 0.251

Computed properties:
The value obtained for the density of states at the Fermi level is 1.4 states/eV/cell. As for the crystal system: orthorhombic.

Arrangement Q

A geometry-optimized MgSiP2 structure. Source: Alexandria, functional PBE.

a = 3.401 Å, b = 5.396 Å, c = 7.383 Å
α = 90.00°, β = 90.00°, γ = 90.00°
Space group Immm (No. 71)
One atom of each set of equivalent atoms:
Mg1 0.000 0.000 0.000
Si1 0.000 0.000 0.500
P1 0.000 0.500 0.216

Computed properties:
The value obtained for the density of states at the Fermi level is 3.5 states/eV/cell. As for the crystal system: orthorhombic.

Arrangement R

A geometry-optimized MgSiP2 structure. Source: Alexandria, functional PBE.

a = 6.598 Å, b = 8.081 Å, c = 6.384 Å
α = 90.00°, β = 90.00°, γ = 90.00°
Space group Pna2_1 (No. 33)
One atom of each set of equivalent atoms:
Mg1 0.090 0.121 0.000
Si1 0.069 0.626 0.997
P1 0.051 0.608 0.642
P2 0.102 0.145 0.601

Computed properties:
The value obtained for the density of states at the Fermi level is 0.0 states/eV/cell. As for the crystal system: orthorhombic.

Which structure is the least stable? The one labeled arrangement Q.